<i>
Here is NiRuCl2 after structural relaxation from Alexandria via LeMat-Bulk. Energies are from GGA-PBEsol.

Summary:
Density   6.35 g/cm³
Fermi-level density of states   9.5 states/eV/cell
Total magnetic moment   1.97 μB/f.u.
SG   C2/m

a b c (Å): 5.764 7.584 3.084
angles (deg): 90.00 116.44 90.00
Sites, in units of the cell vectors:
Ni 0.000 0.000 0.000
Ni 0.500 0.500 0.000
Ru 0.000 0.500 0.000
Ru 0.500 0.000 0.000
Cl 0.250 0.250 0.000
Cl 0.250 0.750 0.000
Cl 0.750 0.250 0.000
Cl 0.750 0.750 0.000

<ii>
Here is NiRuCl2 after structural relaxation from Alexandria via LeMat-Bulk. Energies are from GGA-PBEsol.

Summary:
Density   7.04 g/cm³
Fermi-level density of states   4.7 states/eV/cell
Total magnetic moment   1.22 μB/f.u.
SG   P4/mmm

a b c (Å): 4.258 4.258 3.000
angles (deg): 90.00 90.00 90.00
Sites, in units of the cell vectors:
Ni 0.000 0.000 0.000
Ru 0.500 0.500 0.000
Cl 0.000 0.500 0.500
Cl 0.500 0.000 0.500

It is <i> that is the most stable of them.

<i>
Here is NiRuCl2 after structural relaxation from Alexandria via LeMat-Bulk. Energies are from GGA-PBEsol.

Summary:
Density   6.54 g/cm³
Fermi-level density of states   9.4 states/eV/cell
Total magnetic moment   0.14 μB/f.u.
SG   Cmmm

a b c (Å): 2.874 5.429 7.504
angles (deg): 90.00 90.00 90.00
Sites, in units of the cell vectors:
Ni 0.000 0.000 0.000
Ni 0.500 0.500 0.000
Ru 0.000 0.000 0.500
Ru 0.500 0.500 0.500
Cl 0.000 0.500 0.241
Cl 0.000 0.500 0.759
Cl 0.500 0.000 0.241
Cl 0.500 0.000 0.759

<ii>
Here is NiRuCl2 after structural relaxation from Alexandria via LeMat-Bulk. Energies are from GGA-PBEsol.

Summary:
Density   6.26 g/cm³
Fermi-level density of states   10.2 states/eV/cell
Total magnetic moment   2.11 μB/f.u.
SG   I-4m2

a b c (Å): 3.350 3.350 10.913
angles (deg): 90.00 90.00 90.00
Sites, in units of the cell vectors:
Ni 0.000 0.000 0.000
Ni 0.500 0.500 0.500
Ru 0.000 0.500 0.250
Ru 0.500 0.000 0.750
Cl 0.000 0.000 0.500
Cl 0.000 0.500 0.750
Cl 0.500 0.000 0.250
Cl 0.500 0.500 0.000

<iii>
Here is NiRuCl2 after structural relaxation from Alexandria via LeMat-Bulk. Energies are from GGA-PBEsol.

Summary:
Density   6.98 g/cm³
Fermi-level density of states   12.5 states/eV/cell
Total magnetic moment   0.01 μB/f.u.
SG   R-3m

a b c (Å): 2.991 2.991 21.250
angles (deg): 90.00 90.00 120.00
Sites, in units of the cell vectors:
Ni 0.000 0.000 0.000
Ni 0.333 0.667 0.667
Ni 0.667 0.333 0.333
Ru 0.000 0.000 0.500
Ru 0.333 0.667 0.167
Ru 0.667 0.333 0.833
Cl 0.000 0.000 0.257
Cl 0.000 0.000 0.743
Cl 0.333 0.667 0.410
Cl 0.333 0.667 0.924
Cl 0.667 0.333 0.076
Cl 0.667 0.333 0.590

It is <iii> that is the most stable of them.

<i>
Here is Sc2NiCl after structural relaxation from Alexandria via LeMat-Bulk. Energies are from GGA-PBEsol.

Summary:
Density   4.63 g/cm³
Fermi-level density of states   6.1 states/eV/cell
Total magnetic moment   0.00 μB/f.u.
SG   Cm

a b c (Å): 9.940 3.157 4.235
angles (deg): 90.00 97.01 90.00
Sites, in units of the cell vectors:
Sc 0.000 0.000 0.000
Sc 0.226 0.500 0.554
Sc 0.500 0.500 0.000
Sc 0.726 0.000 0.554
Ni 0.467 0.000 0.497
Ni 0.967 0.500 0.497
Cl 0.266 0.000 0.069
Cl 0.766 0.500 0.069

<ii>
Here is Sc2NiCl after structural relaxation from Alexandria via LeMat-Bulk. Energies are from GGA-PBEsol.

Summary:
Density   4.43 g/cm³
Fermi-level density of states   3.2 states/eV/cell
Total magnetic moment   0.00 μB/f.u.
SG   P4/mmm

a b c (Å): 3.609 3.609 5.301
angles (deg): 90.00 90.00 90.00
Sites, in units of the cell vectors:
Sc 0.000 0.000 0.000
Sc 0.500 0.500 0.500
Ni 0.000 0.000 0.500
Cl 0.500 0.500 0.000

It is <ii> that is the most stable of them.